No. 1
## SmEr2Al (PBE)

Data for a relaxed structure of SmEr2Al.

Lattice parameters (Å, degrees): 3.507 3.507 8.994 90.00 90.00 90.00
Positions (direct):
Sm1 0.000 0.000 0.000
Er1 0.500 0.500 0.289
Er2 0.500 0.500 0.711
Al1 0.000 0.000 0.500

Output
density of states at the Fermi level	3.2	states/eV per cell
symmetry	P4/mmm
formation enthalpy at 0 K	-0.199	eV per atom
energy above the most stable polymorph in this dataset	0	meV per atom

No. 2
## Ag2AuBr5 (PBE)

Data for a relaxed structure of Ag2AuBr5.

Lattice parameters (Å, degrees): 10.244 12.538 8.078 90.00 96.90 90.00
Positions (direct):
Ag1 0.018 0.043 0.227
Ag2 0.018 0.457 0.727
Ag3 0.323 0.687 0.527
Ag4 0.323 0.813 0.027
Ag5 0.677 0.187 0.973
Ag6 0.677 0.313 0.473
Ag7 0.982 0.543 0.273
Ag8 0.982 0.957 0.773
Au1 0.351 0.079 0.617
Au2 0.351 0.421 0.117
Au3 0.649 0.579 0.883
Au4 0.649 0.921 0.383
Br1 0.076 0.639 0.574
Br2 0.076 0.861 0.074
Br3 0.130 0.144 0.494
Br4 0.130 0.356 0.994
Br5 0.252 0.597 0.184
Br6 0.252 0.903 0.684
Br7 0.430 0.526 0.737
Br8 0.430 0.974 0.237
Br9 0.439 0.243 0.046
Br10 0.439 0.257 0.546
Br11 0.561 0.743 0.454
Br12 0.561 0.757 0.954
Br13 0.570 0.026 0.763
Br14 0.570 0.474 0.263
Br15 0.748 0.097 0.316
Br16 0.748 0.403 0.816
Br17 0.870 0.644 0.006
Br18 0.870 0.856 0.506
Br19 0.924 0.139 0.926
Br20 0.924 0.361 0.426

Output
symmetry	P2_1/c
raw formation energy	-217	meV per atom
energy above the most stable polymorph in this dataset	0	meV per atom

No. 3
## CdAsCl (PBE)

Data for a relaxed structure of CdAsCl.

Lattice parameters (Å, degrees): 4.756 4.756 3.421 90.00 90.00 120.00
Positions (direct):
Cd1 0.000 0.000 0.000
As1 0.333 0.667 0.827
Cl1 0.667 0.333 0.374

Output
density of states at the Fermi level	2.8	states/eV per cell
symmetry	P3m1
raw formation energy	133	meV per atom
energy above the most stable polymorph in this dataset	681	meV per atom

No. 4
## Ac5Nd3 (PBE)

Data for a relaxed structure of Ac5Nd3.

Lattice parameters (Å, degrees): 3.910 3.910 21.576 90.00 90.00 90.00
Positions (direct):
Ac1 0.000 0.000 0.000
Ac2 0.000 0.000 0.244
Ac3 0.000 0.000 0.756
Ac4 0.500 0.500 0.378
Ac5 0.500 0.500 0.622
Nd1 0.000 0.000 0.500
Nd2 0.500 0.500 0.121
Nd3 0.500 0.500 0.879

Output
density of states at the Fermi level	14.8	states/eV per cell
symmetry	P4/mmm
formation enthalpy at 0 K	0.028	eV per atom